Here is crystalline ErFeNi at its relaxed geometry from the Open Quantum Materials Database. Energies are from GGA-PBE.

Computed properties:
The value obtained for the formation energy is 808 meV per atom. The value obtained for the mass density is 8.216 Mg/m³. The value obtained for the spin magnetization is 0.7731 μB per atom.

Lattice parameters (Å, degrees): 4.3187 4.3187 4.3187 60.00 60.00 60.00
Last column: nearest neighbours and their distance in Å.
Fractional positions:
Fe 0.2500 0.2500 0.2500  4 Er 2.64
Ni 0.7500 0.7500 0.7500  4 Er 2.64
Er 0.0000 0.0000 0.0000  4 Fe 2.64, 4 Ni 2.64

Here is crystalline Y2TmIn3PdPt2 at its relaxed geometry from the Open Quantum Materials Database. Energies are from GGA-PBE.

Computed properties:
Its electronic total energy is -51.54 eV for the cell shown. The value obtained for the mass density is 10.055 Mg/m³. The value obtained for the spin magnetization is 0.0020 μB per atom.

Lattice parameters (Å, degrees): 3.8102 7.7018 7.7018 119.78 90.00 90.00
Last column: nearest neighbours and their distance in Å.
Fractional positions:
In 0.5000 0.7405 0.0010  2 Pd 2.75, 2 Pt 2.88-2.93
In 0.5000 0.2582 0.2582  2 Pd 2.78, 2 Pt 2.88
In 0.5000 0.0010 0.7405  2 Pd 2.75, 2 Pt 2.88-2.93
Y 0.0000 0.0000 0.4095  4 Pt 3.03, 1 Pd 3.17, 6 In 3.18-3.36
Y 0.0000 0.4095 0.0000  4 Pt 3.03, 1 Pd 3.17, 6 In 3.18-3.36
Pd 0.0000 0.9966 0.9966  6 In 2.75-2.78
Pt 0.5000 0.6654 0.3384  3 In 2.88-2.93, 2 Tm 2.97, 4 Y 3.03
Pt 0.5000 0.3384 0.6654  3 In 2.88-2.93, 2 Tm 2.97, 4 Y 3.03
Tm 0.0000 0.5904 0.5904  4 Pt 2.97, 1 Pd 3.14, 2 In 3.20

Here is crystalline HoTm2In3Ir2 at its relaxed geometry from the Open Quantum Materials Database. Energies are from GGA-PBE.

Computed properties:
Its electronic total energy is -44.73 eV for the cell shown. The value obtained for the mass density is 11.345 Mg/m³. The value obtained for the spin magnetization is 0.0014 μB per atom.

Lattice parameters (Å, degrees): 3.6182 7.5883 7.5883 120.08 90.00 90.00
Last column: nearest neighbours and their distance in Å.
Fractional positions:
Ir 0.5000 0.6670 0.3321  4 Tm 2.89-2.90, 2 Ho 2.91, 3 In 2.96-2.98
Ir 0.5000 0.3321 0.6670  4 Tm 2.89-2.90, 2 Ho 2.91, 3 In 2.96-2.98
In 0.5000 0.7651 0.0008  2 Ir 2.96-2.98, 2 In 3.08-3.10, 4 Tm 3.17-3.31
In 0.5000 0.2344 0.2344  2 Ir 2.98, 2 In 3.08, 2 Ho 3.17, 4 Tm 3.32
In 0.5000 0.0008 0.7651  2 Ir 2.96-2.98, 2 In 3.08-3.10, 4 Tm 3.17-3.31
Tm 0.0000 0.4224 0.0000  4 Ir 2.89-2.90, 2 In 3.17
Tm 0.0000 0.0000 0.4224  4 Ir 2.89-2.90, 2 In 3.17
Ho 0.0000 0.5782 0.5782  4 Ir 2.91, 2 In 3.17

Here is crystalline CsErHgS3 at its relaxed geometry from the Open Quantum Materials Database. Energies are from GGA-PBE.

Computed properties:
Its electronic total energy is -51.13 eV for the cell shown. The value obtained for the mass density is 5.526 Mg/m³. The value obtained for the spin magnetization is 0.0011 μB per atom.

Lattice parameters (Å, degrees): 8.8799 4.1399 10.4657 90.00 111.17 90.00
Last column: nearest neighbours and their distance in Å.
Fractional positions:
S 0.2663 0.2500 0.4356  3 Hg 2.61-2.81
S 0.3863 0.7500 0.1348  1 Hg 2.50, 2 Er 2.80
S 0.6137 0.2500 0.8652  1 Hg 2.50, 2 Er 2.80
S 0.9746 0.7500 0.1380  3 Er 2.64-2.73
S 0.0254 0.2500 0.8620  3 Er 2.64-2.73
S 0.7337 0.7500 0.5644  3 Hg 2.61-2.81
Cs 0.2558 0.7500 0.7375  7 S 3.48-3.89
Cs 0.7442 0.2500 0.2625  7 S 3.48-3.89
Hg 0.5885 0.2500 0.6192  3 S 2.50-2.61
Hg 0.4115 0.7500 0.3808  3 S 2.50-2.61
Er 0.8276 0.7500 0.8694  5 S 2.64-2.80
Er 0.1724 0.2500 0.1306  5 S 2.64-2.80